No. 1
Here is BaCaRu2 after structural relaxation from Alexandria. Energies are from GGA-PBE.

Calculated values
Calculated density (g cm⁻³): 5.8
Energy above the most stable polymorph in this dataset (eV per atom): 0.218
M_tot (μB per formula unit): 0.000
N(E_F) (states/eV/atom): 1.05

Lattice parameters (Å, degrees): 3.470 3.470 9.063 90.00 90.00 97.32
Sites, in units of the cell vectors:
Ca  0.500  0.500  0.841
Ru  0.000  0.000  0.069
Ru  0.500  0.500  0.161
Ba  0.000  0.000  0.428


No. 2
Here is NbPbC2S after structural relaxation from Alexandria. Energies are from GGA-PBE.

Calculated values
Calculated density (g cm⁻³): 6.4
M_tot (μB per formula unit): 0.000
Uncorrected formation energy (eV/atom): 0.962
N(E_F) (states/eV/atom): 0.52

Lattice parameters (Å, degrees): 4.197 5.230 4.197 90.00 90.00 90.00
Sites, in units of the cell vectors:
Pb  0.500  0.500  0.500
Nb  0.000  0.000  0.000
C  0.000  0.000  0.500
C  0.500  0.000  0.000
S  0.000  0.500  0.000